# 1
A plane-wave DFT calculation with PBE-GGA was carried out for a relaxed structure of Nd3SmDy3S8.

Cell: 7.934 7.934 7.997 Å, 119.74 90.00 120.00°
Fractional coordinates of all 15 atoms:
Nd: 0.500 0.500 0.000
Nd: 0.000 0.500 0.000
Nd: 0.000 0.000 0.000
S: 0.749 0.010 0.259
S: 0.745 0.490 0.736
S: 0.739 0.990 0.741
S: 0.255 0.510 0.264
S: 0.251 0.503 0.741
S: 0.261 0.010 0.259
S: 0.251 0.990 0.741
S: 0.749 0.497 0.259
Dy: 0.000 0.500 0.500
Dy: 0.500 0.000 0.500
Dy: 0.500 0.500 0.500
Sm: 0.000 0.000 0.500

Properties
For the total magnetization, the calculation gives 0.0 μB/cell. As for the theoretical density: 6.2 g/cm³. Its uncorrected formation energy is -2961 kJ/mol of formula units. Its space group is No. 166.

***

# 2
A plane-wave DFT calculation with PBE-GGA was carried out for a relaxed structure of SrCoGe3.

Cell: 5.763 6.153 6.152 Å, 120.00 90.00 90.00°
Fractional coordinates of all 10 atoms:
Ge: 0.750 0.188 0.375
Ge: 0.250 0.375 0.188
Ge: 0.750 0.625 0.812
Ge: 0.250 0.812 0.188
Ge: 0.750 0.188 0.812
Ge: 0.250 0.812 0.625
Co: 0.000 0.000 0.000
Co: 0.500 0.000 0.000
Sr: 0.250 0.333 0.667
Sr: 0.750 0.667 0.333

Properties
The uncorrected energy is -4.824 eV per atom. For the total magnetization, the calculation gives 1.0 μB/cell. As for the theoretical density: 6.4 g/cm³. Its space group is No. 194.

***

# 3
A plane-wave DFT calculation with PBE-GGA was carried out for a relaxed structure of Sr3Ga4Sn4.

Cell: 4.639 5.067 13.850 Å, 100.54 99.64 90.00°
Fractional coordinates of all 11 atoms:
Sr: 0.000 0.000 0.000
Sr: 0.358 0.858 0.717
Sr: 0.642 0.142 0.283
Sn: 0.905 0.405 0.809
Sn: 0.754 0.754 0.508
Sn: 0.095 0.595 0.191
Sn: 0.246 0.246 0.492
Ga: 0.455 0.455 0.909
Ga: 0.804 0.304 0.609
Ga: 0.545 0.545 0.091
Ga: 0.196 0.696 0.391

Properties
The uncorrected energy is -3.418 eV per atom. For the total magnetization, the calculation gives 0.0 μB/cell. As for the theoretical density: 5.4 g/cm³. Its space group is No. 71.

***

# 4
A plane-wave DFT calculation with PBE-GGA was carried out for a relaxed structure of Li2CoSiBr.

Cell: 4.848 4.848 4.325 Å, 90.00 90.00 90.00°
Fractional coordinates of all 5 atoms:
Si: 0.500 0.500 0.500
Br: 0.000 0.000 0.500
Li: 0.500 0.000 0.000
Li: 0.000 0.500 0.000
Co: 0.000 0.000 0.000

Properties
For the total magnetization, the calculation gives 1.2 μB/cell. As for the theoretical density: 3.0 g/cm³. Its uncorrected formation energy is 301 kJ/mol of formula units. Its space group is No. 123.

***

# 5
A plane-wave DFT calculation with PBE-GGA was carried out for a relaxed structure of Sr7Cd6.

Cell: 11.801 11.801 11.801 Å, 37.45 37.45 37.45°
Fractional coordinates of all 13 atoms:
Cd: 0.162 0.162 0.162
Cd: 0.335 0.335 0.335
Cd: 0.048 0.048 0.048
Cd: 0.665 0.665 0.665
Cd: 0.952 0.952 0.952
Cd: 0.838 0.838 0.838
Sr: 0.500 0.500 0.500
Sr: 0.420 0.420 0.932
Sr: 0.580 0.068 0.580
Sr: 0.932 0.420 0.420
Sr: 0.068 0.580 0.580
Sr: 0.580 0.580 0.068
Sr: 0.420 0.932 0.420

Properties
The uncorrected energy is -1.214 eV per atom. For the total magnetization, the calculation gives 0.0 μB/cell. As for the theoretical density: 3.9 g/cm³. Its space group is No. 166.

***

# 6
A plane-wave DFT calculation with PBE-GGA was carried out for a relaxed structure of BaZn2Ga4Cu.

Cell: 4.424 4.424 10.030 Å, 77.26 77.26 60.00°
Fractional coordinates of all 8 atoms:
Ga: 0.864 0.864 0.409
Ga: 0.410 0.410 0.769
Ga: 0.590 0.590 0.231
Ga: 0.136 0.136 0.591
Ba: 0.000 0.000 0.000
Zn: 0.239 0.239 0.284
Zn: 0.761 0.761 0.716
Cu: 0.500 0.500 0.500

Properties
The uncorrected energy is -2.745 eV per atom. For the total magnetization, the calculation gives 0.0 μB/cell. As for the theoretical density: 6.2 g/cm³. Its space group is No. 166.

***

# 7
A plane-wave DFT calculation with PBE-GGA was carried out for a relaxed structure of Rb2Zn3HgF12.

Cell: 7.563 7.563 7.563 Å, 59.23 59.23 59.23°
Fractional coordinates of all 18 atoms:
F: 0.906 0.906 0.359
F: 0.906 0.359 0.906
F: 0.094 0.641 0.094
F: 0.691 0.691 0.085
F: 0.641 0.094 0.094
F: 0.309 0.915 0.309
F: 0.309 0.309 0.915
F: 0.094 0.094 0.641
F: 0.359 0.906 0.906
F: 0.915 0.309 0.309
F: 0.085 0.691 0.691
F: 0.691 0.085 0.691
Zn: 0.000 0.000 0.500
Zn: 0.500 0.000 0.000
Zn: 0.000 0.500 0.000
Hg: 0.000 0.000 0.000
Rb: 0.385 0.385 0.385
Rb: 0.615 0.615 0.615

Properties
For the total magnetization, the calculation gives 1.4 μB/cell. As for the theoretical density: 4.4 g/cm³. Its uncorrected formation energy is -3595 kJ/mol of formula units. Its space group is No. 166.

***

# 8
A plane-wave DFT calculation with PBE-GGA was carried out for a relaxed structure of AcSmNiI.

Cell: 4.215 4.214 8.659 Å, 90.00 104.10 120.00°
Fractional coordinates of all 4 atoms:
I: 0.957 0.376 0.348
Ni: 0.312 0.554 0.882
Sm: 0.092 0.944 0.052
Ac: 0.516 0.156 0.688

Properties
For the total magnetization, the calculation gives 0.0 μB/cell. As for the theoretical density: 7.3 g/cm³. Its uncorrected formation energy is -260 kJ/mol of formula units. Its space group is No. 160.

***

# 9
A plane-wave DFT calculation with PBE-GGA was carried out for a relaxed structure of NbZn2Br.

Cell: 4.811 4.811 4.811 Å, 60.00 60.00 60.00°
Fractional coordinates of all 4 atoms:
Zn: 0.750 0.750 0.750
Zn: 0.250 0.250 0.250
Br: 0.000 0.000 0.000
Nb: 0.500 0.500 0.500

Properties
The calculation puts the energy above the most stable polymorph in this dataset at 327 meV/atom. For the total magnetization, the calculation gives 1.9 μB/cell. As for the theoretical density: 6.4 g/cm³. Its uncorrected formation energy is 314 kJ/mol of formula units. Its space group is No. 225.

***

# 10
A plane-wave DFT calculation with PBE-GGA was carried out for a relaxed structure of Ac2PmSb3.

Cell: 4.701 6.662 8.141 Å, 114.15 106.78 90.00°
Fractional coordinates of all 6 atoms:
Ac: 0.168 0.168 0.837
Ac: 0.832 0.832 0.163
Sb: 0.500 0.000 0.500
Sb: 0.842 0.342 0.185
Sb: 0.158 0.658 0.815
Pm: 0.500 0.500 0.500

Properties
The calculation puts the energy above the most stable polymorph in this dataset at 5 meV/atom. For the total magnetization, the calculation gives 0.0 μB/cell. As for the theoretical density: 7.3 g/cm³. Its uncorrected formation energy is -686 kJ/mol of formula units. Its space group is No. 71.

***

# 11
A plane-wave DFT calculation with PBE-GGA was carried out for a relaxed structure of Ba2AlCdO5.

Cell: 3.475 7.728 11.287 Å, 90.00 90.00 102.99°
Fractional coordinates of all 18 atoms:
Ba: 0.893 0.786 0.179
Ba: 0.107 0.214 0.679
Ba: 0.861 0.723 0.823
Ba: 0.139 0.277 0.323
O: 0.331 0.663 0.397
O: 0.962 0.923 0.500
O: 0.496 0.993 0.798
O: 0.669 0.337 0.897
O: 0.289 0.578 0.660
O: 0.038 0.077 0.000
O: 0.355 0.710 0.005
O: 0.711 0.422 0.160
O: 0.504 0.007 0.298
O: 0.645 0.290 0.505
Al: 0.552 0.103 0.936
Al: 0.448 0.897 0.436
Cd: 0.206 0.412 0.027
Cd: 0.794 0.588 0.527

Properties
For the total magnetization, the calculation gives 2.1 μB/cell. As for the theoretical density: 5.6 g/cm³. Its uncorrected formation energy is -1835 kJ/mol of formula units. Its space group is No. 36.

***

# 12
A plane-wave DFT calculation with PBE-GGA was carried out for a relaxed structure of HoCd2Au.

Cell: 4.949 4.949 4.949 Å, 60.00 60.00 60.00°
Fractional coordinates of all 4 atoms:
Ho: 0.000 0.000 0.000
Cd: 0.750 0.750 0.750
Cd: 0.250 0.250 0.250
Au: 0.500 0.500 0.500

Properties
The uncorrected energy is -2.775 eV per atom. For the total magnetization, the calculation gives 0.0 μB/cell. As for the theoretical density: 11.4 g/cm³. Its space group is No. 225.